Record 1
The following is a GGA-PBE calculation of an optimized crystal structure of Cs2Bi8Se13, from the Alexandria database.

The structure in POSCAR format:
```
Cs2Bi8Se13
1.0
14.238 0.000 0.000
0.000 4.223 0.000
-3.223 0.000 25.216
Cs Bi Se
4 16 26
direct
0.071 0.250 0.118
0.223 0.750 0.360
0.777 0.250 0.640
0.929 0.750 0.882
0.071 0.250 0.563
0.072 0.750 0.732
0.232 0.750 0.967
0.314 0.250 0.830
0.378 0.750 0.211
0.384 0.750 0.691
0.452 0.250 0.560
0.456 0.250 0.070
0.544 0.750 0.930
0.548 0.750 0.440
0.616 0.250 0.309
0.622 0.250 0.789
0.686 0.750 0.170
0.768 0.250 0.033
0.928 0.250 0.268
0.929 0.750 0.437
0.009 0.250 0.372
0.041 0.750 0.239
0.105 0.250 0.978
0.109 0.750 0.487
0.186 0.750 0.853
0.245 0.250 0.720
0.259 0.250 0.232
0.314 0.750 0.585
0.321 0.750 0.087
0.398 0.250 0.951
0.403 0.250 0.450
0.465 0.750 0.818
0.476 0.750 0.318
0.524 0.250 0.682
0.535 0.250 0.182
0.597 0.750 0.550
0.602 0.750 0.049
0.679 0.250 0.913
0.686 0.250 0.415
0.741 0.750 0.768
0.755 0.750 0.280
0.814 0.250 0.147
0.891 0.250 0.513
0.895 0.750 0.022
0.959 0.250 0.761
0.991 0.750 0.628
```

## Properties
size of the total moment	0.00	μB per cell
uncorrected energy	-0.1447	hartree per atom
SG	P2_1/m (11)
formation energy from raw total energies	-544	meV per atom

***

Record 2
The following is a GGA-PBE calculation of an optimized crystal structure of Pm5BeZn4, from the Alexandria database.

The structure in POSCAR format:
```
Pm5BeZn4
1.0
3.613 0.000 0.000
0.000 3.613 0.000
0.000 0.000 18.265
Pm Be Zn
5 1 4
direct
0.000 0.000 0.000
0.000 0.000 0.203
0.000 0.000 0.409
0.000 0.000 0.591
0.000 0.000 0.797
0.500 0.500 0.500
0.500 0.500 0.101
0.500 0.500 0.306
0.500 0.500 0.694
0.500 0.500 0.899
```

## Properties
size of the total moment	0.00	μB per cell
N(E_F)	1.069	states/eV per atom
uncorrected energy	-0.1277	hartree per atom
SG	P4/mmm (123)
ΔE_f	-216	meV per atom

***

Record 3
The following is a GGA-PBE calculation of an optimized crystal structure of Er3V5H12, from the Alexandria database.

The structure in POSCAR format:
```
Er3V5H12
1.0
-5.697 5.697 5.697
5.697 -5.697 5.697
5.697 5.697 -5.697
Er V H
12 20 48
direct
0.125 0.250 0.375
0.125 0.375 0.750
0.250 0.375 0.125
0.250 0.875 0.625
0.375 0.125 0.250
0.375 0.750 0.125
0.625 0.250 0.875
0.625 0.875 0.750
0.750 0.125 0.375
0.750 0.625 0.875
0.875 0.625 0.250
0.875 0.750 0.625
0.000 0.000 0.000
0.000 0.000 0.500
0.000 0.500 0.000
0.000 0.500 0.500
0.125 0.750 0.875
0.125 0.875 0.250
0.250 0.125 0.875
0.250 0.625 0.375
0.375 0.250 0.625
0.375 0.625 0.750
0.500 0.000 0.000
0.500 0.000 0.500
0.500 0.500 0.000
0.500 0.500 0.500
0.625 0.375 0.250
0.625 0.750 0.375
0.750 0.375 0.625
0.750 0.875 0.125
0.875 0.125 0.750
0.875 0.250 0.125
0.038 0.205 0.123
0.038 0.333 0.915
0.082 0.705 0.667
0.082 0.877 0.415
0.085 0.623 0.418
0.085 0.962 0.667
0.123 0.038 0.205
0.123 0.585 0.918
0.167 0.205 0.582
0.167 0.462 0.585
0.205 0.123 0.038
0.205 0.582 0.167
0.295 0.333 0.918
0.295 0.462 0.377
0.333 0.915 0.038
0.333 0.918 0.295
0.377 0.295 0.462
0.377 0.582 0.915
0.415 0.082 0.877
0.415 0.833 0.538
0.418 0.085 0.623
0.418 0.833 0.795
0.462 0.377 0.295
0.462 0.585 0.167
0.538 0.415 0.833
0.538 0.623 0.705
0.582 0.167 0.205
0.582 0.915 0.377
0.585 0.167 0.462
0.585 0.918 0.123
0.623 0.418 0.085
0.623 0.705 0.538
0.667 0.082 0.705
0.667 0.085 0.962
0.705 0.538 0.623
0.705 0.667 0.082
0.795 0.418 0.833
0.795 0.877 0.962
0.833 0.538 0.415
0.833 0.795 0.418
0.877 0.415 0.082
0.877 0.962 0.795
0.915 0.038 0.333
0.915 0.377 0.582
0.918 0.123 0.585
0.918 0.295 0.333
0.962 0.667 0.085
0.962 0.795 0.877
```

## Properties
size of the total moment	7.05	μB per cell
N(E_F)	0.322	states/eV per atom
uncorrected energy	-0.1920	hartree per atom
SG	Ia-3d (230)

***

Record 4
The following is a GGA-PBE calculation of an optimized crystal structure of La4Nd2Y2Mg, from the Alexandria database.

The structure in POSCAR format:
```
La4Nd2Y2Mg
1.0
6.294 0.000 0.000
1.068 6.225 0.000
1.067 1.931 7.820
La Nd Y Mg
4 2 2 1
direct
0.051 0.283 0.393
0.174 0.836 0.163
0.826 0.164 0.837
0.949 0.717 0.607
0.394 0.943 0.718
0.606 0.057 0.282
0.276 0.393 0.938
0.724 0.607 0.062
0.500 0.500 0.500
```

## Properties
size of the total moment	0.00	μB per cell
N(E_F)	1.356	states/eV per atom
uncorrected energy	-0.1783	hartree per atom
SG	P-1 (2)
ΔE_f	11	meV per atom

***

Record 5
The following is a GGA-PBE calculation of an optimized crystal structure of Ac12Pt3O5, from the Alexandria database.

The structure in POSCAR format:
```
Ac12Pt3O5
1.0
-8.388 8.388 8.388
8.388 -8.388 8.388
8.388 8.388 -8.388
Ac Pt O
48 12 20
direct
0.022 0.208 0.118
0.022 0.314 0.905
0.090 0.708 0.686
0.090 0.882 0.405
0.095 0.618 0.410
0.095 0.978 0.686
0.118 0.022 0.208
0.118 0.595 0.910
0.186 0.208 0.590
0.186 0.478 0.595
0.208 0.118 0.022
0.208 0.590 0.186
0.292 0.314 0.910
0.292 0.478 0.382
0.314 0.905 0.022
0.314 0.910 0.292
0.382 0.292 0.478
0.382 0.590 0.905
0.405 0.090 0.882
0.405 0.814 0.522
0.410 0.095 0.618
0.410 0.814 0.792
0.478 0.382 0.292
0.478 0.595 0.186
0.522 0.405 0.814
0.522 0.618 0.708
0.590 0.186 0.208
0.590 0.905 0.382
0.595 0.186 0.478
0.595 0.910 0.118
0.618 0.410 0.095
0.618 0.708 0.522
0.686 0.090 0.708
0.686 0.095 0.978
0.708 0.522 0.618
0.708 0.686 0.090
0.792 0.410 0.814
0.792 0.882 0.978
0.814 0.522 0.405
0.814 0.792 0.410
0.882 0.405 0.090
0.882 0.978 0.792
0.905 0.022 0.314
0.905 0.382 0.590
0.910 0.118 0.595
0.910 0.292 0.314
0.978 0.686 0.095
0.978 0.792 0.882
0.125 0.250 0.375
0.125 0.375 0.750
0.250 0.375 0.125
0.250 0.875 0.625
0.375 0.125 0.250
0.375 0.750 0.125
0.625 0.250 0.875
0.625 0.875 0.750
0.750 0.125 0.375
0.750 0.625 0.875
0.875 0.625 0.250
0.875 0.750 0.625
0.000 0.000 0.000
0.000 0.000 0.500
0.000 0.500 0.000
0.000 0.500 0.500
0.125 0.750 0.875
0.125 0.875 0.250
0.250 0.125 0.875
0.250 0.625 0.375
0.375 0.250 0.625
0.375 0.625 0.750
0.500 0.000 0.000
0.500 0.000 0.500
0.500 0.500 0.000
0.500 0.500 0.500
0.625 0.375 0.250
0.625 0.750 0.375
0.750 0.375 0.625
0.750 0.875 0.125
0.875 0.125 0.750
0.875 0.250 0.125
```

## Properties
size of the total moment	2.48	μB per cell
N(E_F)	1.073	states/eV per atom
uncorrected energy	-0.2277	hartree per atom
SG	Ia-3d (230)
formation energy from raw total energies	-1585	meV per atom

***

Record 6
The following is a GGA-PBE calculation of an optimized crystal structure of HoPuNi, from the Alexandria database.

The structure in POSCAR format:
```
HoPuNi
1.0
3.465 0.000 0.000
-1.724 5.127 0.000
-1.732 -0.742 6.977
Ho Pu Ni
2 2 2
direct
0.233 0.310 0.157
0.767 0.690 0.843
0.154 0.859 0.449
0.846 0.141 0.551
0.496 0.139 0.853
0.504 0.861 0.147
```

## Properties
size of the total moment	0.64	μB per cell
N(E_F)	1.887	states/eV per atom
uncorrected energy	-0.3042	hartree per atom
SG	P-1 (2)
energy above the most stable polymorph in this dataset	37	meV/atom
ΔE_f	-47	meV per atom

***

Record 7
The following is a GGA-PBE calculation of an optimized crystal structure of ErTiInGa, from the Alexandria database.

The structure in POSCAR format:
```
ErTiInGa
1.0
0.000 3.479 3.479
3.479 0.000 3.479
3.479 3.479 0.000
Er Ti In Ga
1 1 1 1
direct
0.000 0.000 0.000
0.500 0.500 0.500
0.250 0.250 0.250
0.750 0.750 0.750
```

## Properties
size of the total moment	1.18	μB per cell
N(E_F)	1.112	states/eV per atom
uncorrected energy	-0.1761	hartree per atom
SG	F-43m (216)
ΔE_f	-236	meV per atom

***

Record 8
The following is a GGA-PBE calculation of an optimized crystal structure of InSi4P, from the Alexandria database.

The structure in POSCAR format:
```
InSi4P
1.0
0.000 3.709 3.709
3.709 0.000 3.709
3.709 3.709 0.000
In Si P
1 4 1
direct
0.000 0.000 0.000
0.128 0.624 0.624
0.624 0.128 0.624
0.624 0.624 0.128
0.624 0.624 0.624
0.250 0.250 0.250
```

## Properties
size of the total moment	0.00	μB per cell
N(E_F)	0.648	states/eV per atom
uncorrected energy	-0.1599	hartree per atom
SG	F-43m (216)
formation energy from raw total energies	622	meV per atom

***

Record 9
The following is a GGA-PBE calculation of an optimized crystal structure of CoSbCl2, from the Alexandria database.

The structure in POSCAR format:
```
CoSbCl2
1.0
1.564 -3.077 0.000
1.564 3.077 0.000
0.000 0.000 11.181
Co Sb Cl
1 1 2
direct
0.000 0.000 0.000
0.000 0.000 0.500
0.500 0.500 0.137
0.500 0.500 0.863
```

## Properties
size of the total moment	1.03	μB per cell
N(E_F)	1.176	states/eV per atom
uncorrected energy	-0.1387	hartree per atom
SG	Cmmm (65)
energy above the most stable polymorph in this dataset	214	meV/atom
formation energy from raw total energies	-43	meV per atom

***

Record 10
The following is a GGA-PBE calculation of an optimized crystal structure of ErScMnOs, from the Alexandria database.

The structure in POSCAR format:
```
ErScMnOs
1.0
0.000 3.350 3.350
3.350 0.000 3.350
3.350 3.350 0.000
Er Sc Mn Os
1 1 1 1
direct
0.000 0.000 0.000
0.500 0.500 0.500
0.250 0.250 0.250
0.750 0.750 0.750
```

## Properties
size of the total moment	3.46	μB per cell
N(E_F)	0.801	states/eV per atom
uncorrected energy	-0.2913	hartree per atom
SG	F-43m (216)
ΔE_f	-103	meV per atom

***

Record 11
The following is a GGA-PBE calculation of an optimized crystal structure of Pr6Sm5Mg, from the Alexandria database.

The structure in POSCAR format:
```
Pr6Sm5Mg
1.0
-2.586 5.110 7.758
2.586 -5.110 7.758
2.586 5.110 -7.758
Pr Sm Mg
6 5 1
direct
0.081 0.835 0.246
0.247 0.500 0.747
0.412 0.165 0.246
0.588 0.835 0.754
0.753 0.500 0.253
0.919 0.165 0.754
0.170 0.670 0.500
0.335 0.335 0.000
0.500 0.000 0.500
0.665 0.665 0.000
0.830 0.330 0.500
0.000 0.000 0.000
```

## Properties
size of the total moment	0.00	μB per cell
N(E_F)	1.382	states/eV per atom
uncorrected energy	-0.1646	hartree per atom
SG	Immm (71)
ΔE_f	10	meV per atom

***

Record 12
The following is a GGA-PBE calculation of an optimized crystal structure of MnTlPtW2, from the Alexandria database.

The structure in POSCAR format:
```
MnTlPtW2
1.0
4.482 0.000 0.000
0.000 4.482 0.000
0.000 0.000 4.743
Mn Tl Pt W
1 1 1 2
direct
0.000 0.000 0.000
0.500 0.500 0.500
0.000 0.000 0.500
0.000 0.500 0.000
0.500 0.000 0.000
```

## Properties
size of the total moment	0.00	μB per cell
N(E_F)	1.085	states/eV per atom
uncorrected energy	-0.2722	hartree per atom
SG	P4/mmm (123)
ΔE_f	1289	meV per atom

***

Record 13
The following is a GGA-PBE calculation of an optimized crystal structure of Ba2NO, from the Alexandria database.

The structure in POSCAR format:
```
Ba2NO
1.0
1.998 1.153 6.751
-1.998 1.153 6.751
0.000 -2.307 6.751
Ba N O
2 1 1
direct
0.246 0.246 0.246
0.754 0.754 0.754
0.000 0.000 0.000
0.500 0.500 0.500
```

## Properties
size of the total moment	1.00	μB per cell
N(E_F)	0.944	states/eV per atom
uncorrected energy	-0.1996	hartree per atom
SG	R-3m (166)
energy above the most stable polymorph in this dataset	0	meV/atom
formation energy from raw total energies	-1150	meV per atom

***

Record 14
The following is a GGA-PBE calculation of an optimized crystal structure of KTaZn2, from the Alexandria database.

The structure in POSCAR format:
```
KTaZn2
1.0
0.000 3.474 3.474
3.474 0.000 3.474
3.474 3.474 0.000
K Ta Zn
1 1 2
direct
0.000 0.000 0.000
0.500 0.500 0.500
0.250 0.250 0.250
0.750 0.750 0.750
```

## Properties
size of the total moment	0.74	μB per cell
N(E_F)	0.800	states/eV per atom
uncorrected energy	-0.1076	hartree per atom
SG	Fm-3m (225)
energy above the most stable polymorph in this dataset	491	meV/atom
ΔE_f	946	meV per atom